{
  "formula": "Be2TcW2",
  "functional": "PBE",
  "state": "optimized geometry",
  "energy_ry_per_atom": -0.65549,
  "ef_ev_per_atom": -0.173,
  "dos_ef_per_ev_fu": 3.37,
  "lattice": [[6.168, 0.000, 0.000], [0.000, 6.168, 0.000], [0.000, 0.000, 3.218]],
  "species": ["W", "W", "W", "W", "Tc", "Tc", "Be", "Be", "Be", "Be"],
  "fractional_positions": [[0.827, 0.327, 0.500], [0.327, 0.173, 0.500], [0.673, 0.827, 0.500], [0.173, 0.673, 0.500], [0.500, 0.500, 0.000], [0.000, 0.000, 0.000], [0.120, 0.380, 0.000], [0.620, 0.120, 0.000], [0.380, 0.880, 0.000], [0.880, 0.620, 0.000]]
}